[1]
VASP calculation (GGA-PBE) on a geometry-optimized TlVSCl2 structure.

CIF file:
```
data_TlVSCl2
_chemical_formula_sum 'Tl1 V1 S1 Cl2'
_symmetry_space_group_name_H-M 'P 4/m m m'
_symmetry_Int_Tables_number 123
_symmetry_space_group_name_Hall '-P 4 2'
_cell_length_a 5.043
_cell_length_b 5.043
_cell_length_c 4.601
_cell_angle_alpha 90.00
_cell_angle_beta 90.00
_cell_angle_gamma 90.00
loop_
_atom_site_label
_atom_site_type_symbol
_atom_site_fract_x
_atom_site_fract_y
_atom_site_fract_z
Tl1 Tl 0.000 0.000 0.000
V1 V 0.500 0.500 0.500
S1 S 0.500 0.500 0.000
Cl1 Cl 0.000 0.500 0.500
```

[2]
VASP calculation (GGA-PBE) on a geometry-optimized TlVSCl2 structure.

CIF file:
```
data_TlVSCl2
_chemical_formula_sum 'Tl1 V1 S1 Cl2'
_symmetry_space_group_name_H-M 'P 4/m m m'
_symmetry_Int_Tables_number 123
_symmetry_space_group_name_Hall '-P 4 2'
_cell_length_a 5.292
_cell_length_b 5.292
_cell_length_c 5.193
_cell_angle_alpha 90.00
_cell_angle_beta 90.00
_cell_angle_gamma 90.00
loop_
_atom_site_label
_atom_site_type_symbol
_atom_site_fract_x
_atom_site_fract_y
_atom_site_fract_z
Tl1 Tl 0.000 0.000 0.000
V1 V 0.500 0.500 0.500
S1 S 0.000 0.000 0.500
Cl1 Cl 0.000 0.500 0.000
```

[3]
VASP calculation (GGA-PBE) on a geometry-optimized TlVS2Cl structure.

CIF file:
```
data_TlVS2Cl
_chemical_formula_sum 'Tl1 V1 S2 Cl1'
_symmetry_space_group_name_H-M 'P 4/m m m'
_symmetry_Int_Tables_number 123
_symmetry_space_group_name_Hall '-P 4 2'
_cell_length_a 5.146
_cell_length_b 5.146
_cell_length_c 5.130
_cell_angle_alpha 90.00
_cell_angle_beta 90.00
_cell_angle_gamma 90.00
loop_
_atom_site_label
_atom_site_type_symbol
_atom_site_fract_x
_atom_site_fract_y
_atom_site_fract_z
Tl1 Tl 0.000 0.000 0.000
V1 V 0.500 0.500 0.500
S1 S 0.000 0.500 0.000
Cl1 Cl 0.000 0.000 0.500
```

[4]
VASP calculation (GGA-PBE) on a geometry-optimized Tl2WS2Cl4 structure.

CIF file:
```
data_Tl2WS2Cl4
_chemical_formula_sum 'Tl4 W2 S4 Cl8'
_symmetry_space_group_name_H-M 'C 1 2/m 1'
_symmetry_Int_Tables_number 12
_cell_length_a 12.489
_cell_length_b 6.836
_cell_length_c 6.081
_cell_angle_alpha 90.00
_cell_angle_beta 97.01
_cell_angle_gamma 90.00
loop_
_symmetry_equiv_pos_as_xyz
'x,y,z'
'-x,-y,-z'
'-x,y,-z'
'x,-y,z'
'x+1/2,y+1/2,z'
'-x+1/2,-y+1/2,-z'
'-x+1/2,y+1/2,-z'
'x+1/2,-y+1/2,z'
loop_
_atom_site_label
_atom_site_type_symbol
_atom_site_fract_x
_atom_site_fract_y
_atom_site_fract_z
Tl1 Tl 0.171 0.000 0.309
W1 W 0.000 0.500 0.500
S1 S 0.147 0.500 0.312
Cl1 Cl 0.082 0.253 0.744
```

Number 1: E -4.705 eV/atom. Number 2: E -3.541 eV/atom. Number 3: E -3.689 eV/atom. Number 4: E -4.374 eV/atom.